The following is a PBE with a Hubbard U calculation of an optimized crystal structure of CsNdW2O8, from the Alexandria database.

Output
uncorrected energy	-7.367	eV per atom
volume	358.2	Å³/cell
DOS at the Fermi energy	0.000	states/eV/atom

Lattice parameters (Å, degrees): 7.829 7.829 7.628 117.12 117.12 89.61
Fractional positions:
Cs1 0.200 0.800 0.750
Cs2 0.800 0.200 0.250
Nd1 0.224 0.776 0.250
Nd2 0.776 0.224 0.750
W1 0.304 0.315 0.284
W2 0.315 0.304 0.784
W3 0.685 0.696 0.216
W4 0.696 0.685 0.716
O1 0.056 0.225 0.702
O2 0.067 0.373 0.134
O3 0.225 0.056 0.202
O4 0.256 0.376 0.565
O5 0.373 0.067 0.634
O6 0.375 0.588 0.032
O7 0.376 0.256 0.065
O8 0.412 0.625 0.468
O9 0.588 0.375 0.532
O10 0.624 0.744 0.935
O11 0.625 0.412 0.968
O12 0.627 0.933 0.366
O13 0.744 0.624 0.435
O14 0.775 0.944 0.798
O15 0.933 0.627 0.866
O16 0.944 0.775 0.298